The following is a PBE calculation of a relaxed CrCoRe crystal, from Alexandria via LeMat-Bulk.

Geometry as POSCAR:
```
CrCoRe
1.0
-3.687 1.348 -4.294
-4.903 -0.601 -3.073
-1.606 1.708 1.127
Co Cr Re
1 1 1
Cartesian
-8.555 0.751 -7.324
-4.003 1.378 -1.788
-6.228 1.072 -4.494
```

Distance to the lowest polymorph of the same formula   0.063 eV per atom
SG   I4mm (107)
Size of the total moment   0.000 μB/cell
Total energy   -9.5994 eV/atom
N(E_F)   1.119 states/eV/atom